The following is a DFT calculation (PBE-GGA) of KTlCl2 after structural relaxation. Values from VASP.

Results
Raw formation energy, eV per atom: -1.424
Mass density, Mg/m³: 4.5
Offset from the most stable computed form, eV/atom: 0.067
Calculated volume, Å³ per cell: 115.5
Space-group type: Fm-3m (225)
Crystal system: cubic

Quantum ESPRESSO input file:
```
&SYSTEM
  ibrav = 0, nat = 4, ntyp = 3
/
ATOMIC_SPECIES
Cl 35.45 Cl.upf
K 39.10 K.upf
Tl 204.38 Tl.upf
CELL_PARAMETERS angstrom
1.690 0.075 5.198
-1.613 4.014 3.341
-3.530 -1.057 4.037
ATOMIC_POSITIONS crystal
Cl 0.250 0.250 0.250
Cl 0.750 0.750 0.750
K 0.000 0.000 0.000
Tl 0.500 0.500 0.500
```

The following is a DFT calculation (PBE-GGA) of PmP2Ir3 after structural relaxation. Values from VASP.

Results
Energy of formation from the pure elements, eV/atom: -0.850
Mass density, Mg/m³: 13.3
Calculated volume, Å³ per cell: 293.3
Space-group type: C2/m (12)
Crystal system: monoclinic

Quantum ESPRESSO input file:
```
&SYSTEM
  ibrav = 0, nat = 18, ntyp = 3
/
ATOMIC_SPECIES
Pm 145.00 Pm.upf
Ir 192.22 Ir.upf
P 30.97 P.upf
CELL_PARAMETERS angstrom
3.932 0.000 0.000
-1.966 7.603 -2.467
0.000 0.068 9.791
ATOMIC_POSITIONS crystal
Pm 0.000 0.000 0.000
Pm 0.152 0.304 0.691
Pm 0.848 0.696 0.309
Ir 0.500 0.000 0.500
Ir 0.044 0.087 0.324
Ir 0.674 0.349 0.948
Ir 0.774 0.548 0.604
Ir 0.633 0.266 0.211
Ir 0.956 0.913 0.676
Ir 0.367 0.734 0.789
Ir 0.326 0.651 0.052
Ir 0.226 0.452 0.396
P 0.636 0.271 0.451
P 0.462 0.925 0.222
P 0.364 0.729 0.549
P 0.798 0.596 0.865
P 0.202 0.404 0.135
P 0.538 0.075 0.778
```